Entry 1:
First-principles (PBE) data for a relaxed BaS2ClO crystal, as listed in Alexandria via LeMat-Bulk.

Spin magnetization (μB/atom): 0.06
Space group: P4/mmm
E_form (uncorrected) (meV/atom): -685.3
ρ (g/cm³): 3.967

a b c (Å): 4.198 4.198 6.006
angles (deg): 90.00 90.00 90.00
Each line ends with the local moment (μB).
Fractional coordinates of all 5 atoms:
O  0.000  0.000  0.000  0.04
Cl  0.000  0.000  0.500  0.00
S  0.000  0.500  0.000  0.08
S  0.500  0.000  0.000  0.08
Ba  0.500  0.500  0.500  0.00

Entry 2:
First-principles (PBE) data for a relaxed Lu2PaZn crystal, as listed in Alexandria via LeMat-Bulk.

Formation energy from the elements (meV/atom): 152
Spin magnetization (μB/atom): 0.00
Space group: P4/mmm
ρ (g/cm³): 11.069

a b c (Å): 4.469 4.658 4.658
angles (deg): 90.00 90.00 90.00
Fractional coordinates of all 4 atoms:
Pa  0.500  0.000  0.000
Lu  0.000  0.500  0.000
Lu  0.000  0.000  0.500
Zn  0.500  0.500  0.500

Entry 3:
First-principles (PBE) data for a relaxed Na2HRu crystal, as listed in Alexandria via LeMat-Bulk.

Spin magnetization (μB/atom): 0.70
Space group: Fm-3m
Electronic total energy (eV per atom): -2.57
ρ (g/cm³): 3.017

a b c (Å): 4.866 4.866 4.866
angles (deg): 60.00 60.00 60.00
Each line ends with the local moment (μB).
Fractional coordinates of all 4 atoms:
Na  0.750  0.750  0.750  0.00
Na  0.250  0.250  0.250  0.00
H  0.000  0.000  0.000  0.07
Ru  0.500  0.500  0.500  2.19

Entry 4:
First-principles (PBE) data for a relaxed Ga3Cu4 crystal, as listed in Alexandria via LeMat-Bulk.

Formation energy from the elements (meV/atom): -32
Spin magnetization (μB/atom): 0.00
Space group: R-3
ρ (g/cm³): 8.035

a b c (Å): 5.229 6.733 6.733
angles (deg): 113.54 105.00 105.00
Fractional coordinates of all 14 atoms:
Ga  0.110  0.593  0.870
Ga  0.517  0.277  0.407
Ga  0.760  0.870  0.277
Ga  0.240  0.130  0.723
Ga  0.483  0.723  0.593
Ga  0.890  0.407  0.130
Cu  0.951  0.692  0.542
Cu  0.500  0.000  0.000
Cu  0.409  0.458  0.150
Cu  0.049  0.308  0.458
Cu  0.741  0.150  0.692
Cu  0.259  0.850  0.308
Cu  0.591  0.542  0.850
Cu  0.000  0.000  0.000

Entry 5:
First-principles (PBE) data for a relaxed CoOs crystal, as listed in Alexandria via LeMat-Bulk.

Formation energy from the elements (meV/atom): 282
Spin magnetization (μB/atom): 0.37
Space group: Pnma
ρ (g/cm³): 16.118

a b c (Å): 10.500 4.244 4.608
angles (deg): 90.00 90.00 90.00
Each line ends with the local moment (μB).
Fractional coordinates of all 16 atoms:
Co  0.241  0.250  0.218  0.99
Co  0.759  0.750  0.782  0.99
Co  0.120  0.750  0.318  0.56
Co  0.259  0.750  0.718  0.99
Co  0.620  0.750  0.182  0.56
Co  0.380  0.250  0.818  0.56
Co  0.741  0.250  0.282  0.99
Co  0.880  0.250  0.682  0.56
Os  0.371  0.750  0.177  0.00
Os  0.129  0.250  0.677  0.00
Os  0.500  0.750  0.678  -0.05
Os  0.000  0.750  0.822  -0.05
Os  0.500  0.250  0.322  -0.05
Os  0.000  0.250  0.178  -0.05
Os  0.871  0.750  0.323  0.00
Os  0.629  0.250  0.823  0.00

Entry 6:
First-principles (PBE) data for a relaxed BaSrY2 crystal, as listed in Alexandria via LeMat-Bulk.

Formation energy from the elements (meV/atom): 299
Spin magnetization (μB/atom): 0.32
Space group: I4/mmm
ρ (g/cm³): 3.985

a b c (Å): 6.916 6.916 6.916
angles (deg): 134.10 134.10 66.93
Each line ends with the local moment (μB).
Fractional coordinates of all 4 atoms:
Y  0.000  0.000  0.000  0.23
Y  0.500  0.500  0.000  0.23
Ba  0.250  0.750  0.500  0.05
Sr  0.750  0.250  0.500  0.04

Entry 7:
First-principles (PBE) data for a relaxed SrTaSCl2 crystal, as listed in Alexandria via LeMat-Bulk.

Spin magnetization (μB/atom): 0.60
Space group: P4/mmm
E_form (uncorrected) (meV/atom): 150.0
ρ (g/cm³): 3.760

a b c (Å): 5.299 5.299 5.845
angles (deg): 90.00 90.00 90.00
Each line ends with the local moment (μB).
Fractional coordinates of all 5 atoms:
Ta  0.500  0.500  0.500  2.24
S  0.000  0.000  0.500  -0.23
Sr  0.000  0.000  0.000  0.00
Cl  0.000  0.500  0.000  0.01
Cl  0.500  0.000  0.000  0.01

Entry 8:
First-principles (PBE) data for a relaxed MgZnCl crystal, as listed in Alexandria via LeMat-Bulk.

Spin magnetization (μB/atom): 0.00
Space group: I4mm
E_form (uncorrected) (meV/atom): -494.6
ρ (g/cm³): 3.182

a b c (Å): 6.508 6.508 6.508
angles (deg): 150.84 150.84 41.72
Fractional coordinates of all 3 atoms:
Zn  0.300  0.300  0.000
Cl  0.040  0.040  0.000
Mg  0.660  0.660  0.000

Entry 9:
First-principles (PBE) data for a relaxed Mn2MoIr crystal, as listed in Alexandria via LeMat-Bulk.

Formation energy from the elements (meV/atom): -48
Spin magnetization (μB/atom): 0.05
Space group: Pmm2
ρ (g/cm³): 12.007

a b c (Å): 2.735 3.731 5.393
angles (deg): 90.00 90.00 90.00
Each line ends with the local moment (μB).
Fractional coordinates of all 4 atoms:
Mo  0.000  0.000  0.502  0.12
Mn  0.500  0.500  0.232  -2.32
Mn  0.000  0.000  0.013  2.48
Ir  0.500  0.500  0.754  -0.07

Entry 10:
First-principles (PBE) data for a relaxed NaLiNb2As crystal, as listed in Alexandria via LeMat-Bulk.

Formation energy from the elements (meV/atom): 937
Spin magnetization (μB/atom): 0.00
Space group: P4/mmm
ρ (g/cm³): 5.380

a b c (Å): 4.529 4.374 4.529
angles (deg): 90.00 90.00 90.00
Fractional coordinates of all 5 atoms:
As  0.000  0.500  0.000
Nb  0.000  0.000  0.500
Nb  0.500  0.000  0.000
Na  0.500  0.500  0.500
Li  0.000  0.000  0.000

Entry 11:
First-principles (PBE) data for a relaxed ZrCrAs2Br crystal, as listed in Alexandria via LeMat-Bulk.

Spin magnetization (μB/atom): 0.72
Space group: P4/mmm
E_form (uncorrected) (meV/atom): 276.3
ρ (g/cm³): 5.598

a b c (Å): 4.760 4.760 4.882
angles (deg): 90.00 90.00 90.00
Each line ends with the local moment (μB).
Fractional coordinates of all 5 atoms:
Zr  0.500  0.500  0.500  0.87
As  0.000  0.500  0.000  -0.12
As  0.500  0.000  0.000  -0.12
Cr  0.000  0.000  0.000  2.59
Br  0.000  0.000  0.500  -0.03

Entry 12:
First-principles (PBE) data for a relaxed CuTcSe2 crystal, as listed in Alexandria via LeMat-Bulk.

Spin magnetization (μB/atom): 0.50
Space group: I-4m2
E_form (uncorrected) (meV/atom): 496.5
ρ (g/cm³): 7.923

a b c (Å): 5.524 5.524 5.524
angles (deg): 140.74 140.74 56.73
Each line ends with the local moment (μB).
Fractional coordinates of all 4 atoms:
Tc  0.500  0.500  0.000  1.73
Se  0.000  0.000  0.000  0.04
Se  0.250  0.750  0.500  0.02
Cu  0.750  0.250  0.500  0.03